Record 1
VASP calculation (PBE-GGA) on a relaxed structure of LaMg2GaHg4.

Output
Its formation energy is -282 meV/atom. For the calculated total energy, the calculation gives -1.825 eV per atom.

Cell: 4.8946 4.8946 9.6834 Å, 75.36 75.36 60.00°
Closest atoms and distances in Å follow each position.
Positions (direct):
Mg1 0.7590 0.7590 0.7230  7 Hg 2.97-3.20
Ga1 0.5000 0.5000 0.5000  8 Hg 3.05
Hg1 0.1257 0.1257 0.6229  4 Mg 2.97-3.20, 3 Ga 3.05
Hg2 0.8743 0.8743 0.3771  4 Mg 2.97-3.20, 3 Ga 3.05
Hg3 0.6099 0.6099 0.1703  3 Mg 2.99, 1 Ga 3.05, 3 La 3.24
Hg4 0.3901 0.3901 0.8297  3 Mg 2.99, 1 Ga 3.05, 3 La 3.24
La1 0.0000 0.0000 0.0000  8 Hg 3.24-3.49
Mg2 0.2410 0.2410 0.2770  7 Hg 2.97-3.20

=====

Record 2
VASP calculation (PBE-GGA) on a relaxed structure of Zr3TiZn2.

Output
The distance to the lowest polymorph of the same formula is 19 meV per atom. Its formation energy is -140 meV/atom. For the calculated total energy, the calculation gives -6.154 eV per atom.

Cell: 3.1810 4.8666 7.8275 Å, 108.15 90.00 90.00°
Closest atoms and distances in Å follow each position.
Positions (direct):
Zn1 0.0000 0.3380 0.6780  8 Zr 2.87-2.96, 2 Zn 3.18
Zr1 0.5000 0.1725 0.3428  6 Zn 2.91-2.96, 2 Ti 3.01, 2 Zr 3.18
Ti1 0.0000 0.0000 0.0000  8 Zr 2.91-3.01, 2 Ti 3.18
Zn2 0.0000 0.6620 0.3220  8 Zr 2.87-2.96, 2 Zn 3.18
Zr2 0.5000 0.5000 0.0000  4 Zn 2.87, 4 Ti 2.91, 2 Zr 3.18
Zr3 0.5000 0.8275 0.6572  6 Zn 2.91-2.96, 2 Ti 3.01, 2 Zr 3.18

=====

Record 3
VASP calculation (PBE-GGA) on a relaxed structure of NaIn6Hg5.

Output
Its formation energy is -43 meV/atom. For the calculated total energy, the calculation gives -1.648 eV per atom.

Cell: 5.7558 5.7646 11.2776 Å, 83.30 76.48 60.05°
Closest atoms and distances in Å follow each position.
Positions (direct):
Hg1 0.3299 0.3403 0.0000  3 Hg 3.29-3.40, 6 In 3.29-3.50, 3 Na 3.30-3.34
In1 0.9129 0.6650 0.2566  5 Hg 3.24-3.50, 6 In 3.31-3.35, 1 Na 3.37
Hg2 0.5000 0.0000 0.5000  6 In 3.24-3.47, 6 Hg 3.31-3.35
In2 0.7469 0.0000 0.7525  5 Hg 3.29-3.47, 6 In 3.31-3.35, 1 Na 3.44
Hg3 0.8358 0.3285 0.5000  6 In 3.25-3.40, 6 Hg 3.28-3.35
In3 0.0871 0.3350 0.7434  5 Hg 3.24-3.50, 6 In 3.31-3.35, 1 Na 3.37
In4 0.5778 0.3350 0.2566  5 Hg 3.24-3.50, 6 In 3.31-3.35, 1 Na 3.37
In5 0.4222 0.6650 0.7434  5 Hg 3.24-3.50, 6 In 3.31-3.35, 1 Na 3.37
Na1 0.0000 0.0000 0.0000  6 Hg 3.30-3.34, 6 In 3.37-3.44
In6 0.2531 0.0000 0.2475  5 Hg 3.29-3.47, 6 In 3.31-3.35, 1 Na 3.44
Hg4 0.1642 0.6715 0.5000  6 In 3.25-3.40, 6 Hg 3.28-3.35
Hg5 0.6701 0.6597 0.0000  3 Hg 3.29-3.40, 6 In 3.29-3.50, 3 Na 3.30-3.34

=====

Record 4
VASP calculation (PBE-GGA) on a relaxed structure of Pr4Se3F4.

Output
For the calculated total energy, the calculation gives -6.169 eV per atom. The value obtained for the formation energy from raw total energies is -2800 meV/atom.

Cell: 3.8825 8.1685 8.3770 Å, 119.18 103.40 90.00°
Closest atoms and distances in Å follow each position.
Positions (direct):
Se1 0.8828 0.8828 0.7657  6 Pr 3.02-3.12, 2 F 3.24, 1 Se 3.30
Pr1 0.7812 0.2812 0.5624  4 F 2.49
F1 0.3230 0.4991 0.6460  3 Pr 2.49-2.64
Pr2 0.5000 0.2203 0.0000  2 F 2.64
F2 0.6770 0.5009 0.3540  3 Pr 2.49-2.64
F3 0.3230 0.1469 0.6460  3 Pr 2.49-2.64
Se2 0.1172 0.1172 0.2343  6 Pr 3.02-3.12, 2 F 3.24, 1 Se 3.30
Pr3 0.2188 0.7188 0.4376  4 F 2.49
Pr4 0.5000 0.7797 0.0000  2 F 2.64
F4 0.6770 0.8531 0.3540  3 Pr 2.49-2.64
Se3 0.0000 0.5000 0.0000  6 Pr 3.00-3.09

=====

Record 5
VASP calculation (PBE-GGA) on a relaxed structure of CaPr2CdAu4.

Output
Its formation energy is -727 meV/atom. For the calculated total energy, the calculation gives -3.925 eV per atom.

Cell: 5.1438 5.1438 8.9235 Å, 73.25 73.25 60.00°
Closest atoms and distances in Å follow each position.
Positions (direct):
Pr1 0.2437 0.2437 0.2688  8 Au 3.07-3.24
Au1 0.8790 0.8790 0.3631  1 Ca 3.06, 4 Pr 3.07-3.10, 3 Cd 3.19
Pr2 0.7563 0.7563 0.7312  8 Au 3.07-3.24
Au2 0.6288 0.6288 0.1136  3 Ca 3.12, 4 Pr 3.22-3.24, 1 Cd 3.25
Au3 0.3712 0.3712 0.8864  3 Ca 3.12, 4 Pr 3.22-3.24, 1 Cd 3.25
Cd1 0.5000 0.5000 0.5000  8 Au 3.19-3.25, 6 Pr 3.55
Au4 0.1210 0.1210 0.6369  1 Ca 3.06, 4 Pr 3.07-3.10, 3 Cd 3.19
Ca1 0.0000 0.0000 0.0000  8 Au 3.06-3.12

=====

Record 6
VASP calculation (PBE-GGA) on a relaxed structure of CaCrTc2.

Output
The distance to the lowest polymorph of the same formula is 313 meV per atom. Its formation energy is 535 meV/atom. For the calculated total energy, the calculation gives -7.554 eV per atom.

Cell: 5.3407 5.3407 5.3407 Å, 147.63 125.78 64.57°
Closest atoms and distances in Å follow each position.
Positions (direct):
Tc1 0.4666 0.4666 0.0000  2 Cr 2.46
Ca1 0.7500 0.2500 0.5000  4 Cr 2.85, 8 Tc 2.96-3.12, 2 Ca 2.98
Tc2 0.0334 0.0334 0.0000  2 Cr 2.46
Cr1 0.2500 0.7500 0.5000  4 Tc 2.46